# NaPu2Th3Te6

NaPu2Th3Te6 after structural relaxation (GGA-PBE, Alexandria via LeMat-Bulk).

* volume: 750.4 Å³/cell
* formation energy without anion corrections: -1.068 eV/atom

Cell: 19.547 4.393 9.038 Å, 90.00 104.78 90.00°
Space group C2/m (No. 12)
Inequivalent atoms, fractional coordinates:
Na 0.000 0.000 0.000
Pu 0.168 0.500 0.332
Th 0.000 0.000 0.500
Th 0.167 0.500 0.827
Te 0.001 0.500 0.245
Te 0.164 0.000 0.081
Te 0.168 0.000 0.574